Entry 1:
DFT (PBE) results for LiRu3 after structural relaxation.

Results
Size of the total moment (μB/cell): 0.00
Calculated volume (Å³/f.u.): 56.44
SG: R-3m (166)
ΔH_f (0 K) (eV per atom): 0.18
D(E_F) (states/eV/atom): 0.7795
DFT total energy (eV for the cell shown): -29.03

Cell lengths 9.0570, 9.0570, 9.0570 Å; angles 17.16, 17.16, 17.16 degrees
Fractional coordinates of all 4 atoms:
Li  0.0000  0.0000  0.0000
Ru  0.7534  0.7534  0.7534
Ru  0.5000  0.5000  0.5000
Ru  0.2466  0.2466  0.2466


Entry 2:
DFT (PBE) results for YSb2PdI after structural relaxation.

Results
Offset from the most stable computed form (eV per formula unit): 2.580
Size of the total moment (μB/cell): 0.00
Calculated volume (Å³/f.u.): 198.14
Uncorrected formation energy (kcal/mol of atoms): 10.7
SG: P4/mmm (123)
D(E_F) (states/eV/atom): 0.9443
DFT total energy (eV for the cell shown): -19.13

Cell lengths 5.8379, 5.8379, 5.8139 Å; angles 90.00, 90.00, 90.00 degrees
Fractional coordinates of all 5 atoms:
I  0.0000  0.0000  0.5000
Pd  0.5000  0.5000  0.5000
Y  0.0000  0.0000  0.0000
Sb  0.5000  0.0000  0.0000
Sb  0.0000  0.5000  0.0000


Entry 3:
DFT (PBE) results for Th8SbTe4Ir3 after structural relaxation.

Results
Size of the total moment (μB/cell): 0.00
Calculated volume (Å³/f.u.): 485.15
Uncorrected formation energy (kcal/mol of atoms): -24.3
SG: R-3m (166)
D(E_F) (states/eV/atom): 1.0906
DFT total energy (eV for the cell shown): -119.50

Cell lengths 8.6243, 9.0314, 8.6231 Å; angles 118.53, 120.00, 90.00 degrees
Fractional coordinates of all 16 atoms:
Th  0.2482  0.7145  0.4964
Th  0.7329  0.6986  0.4658
Th  0.7518  0.2855  0.5036
Th  0.2820  0.2855  0.0337
Th  0.2671  0.3014  0.5342
Th  0.7517  0.2855  0.0337
Th  0.7180  0.7145  0.9663
Th  0.2483  0.7145  0.9663
Te  0.0000  0.0000  0.0000
Te  0.5000  0.0000  0.5000
Te  0.5000  0.0000  0.0000
Te  0.0000  0.0000  0.5000
Ir  0.5000  0.5000  0.5000
Ir  0.0000  0.5000  0.5000
Ir  0.5000  0.5000  0.0000
Sb  0.0000  0.5000  0.0000


Entry 4:
DFT (PBE) results for Ac6Ir2Pt3Br after structural relaxation.

Results
Size of the total moment (μB/cell): 0.00
Calculated volume (Å³/f.u.): 365.84
Uncorrected formation energy (kcal/mol of atoms): -23.6
SG: C2/m (12)
D(E_F) (states/eV/atom): 0.6343
DFT total energy (eV for the cell shown): -74.46

Cell lengths 4.3575, 9.0121, 9.7945 Å; angles 102.36, 102.85, 90.00 degrees
Fractional coordinates of all 12 atoms:
Ac  0.9918  0.7231  0.9837
Ac  0.0082  0.2769  0.0163
Ac  0.6685  0.5769  0.3370
Ac  0.3216  0.8987  0.6432
Ac  0.3315  0.4231  0.6630
Ac  0.6784  0.1013  0.3568
Ir  0.8345  0.6704  0.6689
Ir  0.1655  0.3296  0.3311
Pt  0.8416  0.1648  0.6832
Pt  0.5000  0.5000  0.0000
Pt  0.1584  0.8352  0.3168
Br  0.5000  0.0000  0.0000


Entry 5:
DFT (PBE) results for Mg3PbSe after structural relaxation.

Results
Offset from the most stable computed form (eV per formula unit): 1.104
Size of the total moment (μB/cell): 0.00
Calculated volume (Å³/f.u.): 150.80
Uncorrected formation energy (kcal/mol of atoms): 2.1
SG: Pm-3m (221)
D(E_F) (states/eV/atom): 0.0000
DFT total energy (eV for the cell shown): -11.52

Cell lengths 5.3227, 5.3227, 5.3227 Å; angles 90.00, 90.00, 90.00 degrees
Fractional coordinates of all 5 atoms:
Se  0.5000  0.5000  0.5000
Pb  0.0000  0.0000  0.0000
Mg  0.0000  0.0000  0.5000
Mg  0.5000  0.0000  0.0000
Mg  0.0000  0.5000  0.0000


Entry 6:
DFT (PBE) results for Cs6RbHAu after structural relaxation.

Results
Size of the total moment (μB/cell): 0.00
Calculated volume (Å³/f.u.): 698.49
SG: P312 (149)
D(E_F) (states/eV/atom): 0.9024
DFT total energy (eV for the cell shown): -13.24

Cell lengths 9.3582, 9.3583, 9.2111 Å; angles 90.02, 89.98, 59.98 degrees
Fractional coordinates of all 9 atoms:
Rb  0.0000  0.0000  0.0000
Cs  0.5926  0.3871  0.7116
Cs  0.5927  0.0201  0.2883
Cs  0.3871  0.5926  0.2883
Cs  0.0201  0.5927  0.7117
Cs  0.0205  0.3870  0.2882
Cs  0.3870  0.0205  0.7118
Au  0.6666  0.6666  0.5000
H  0.3333  0.3333  0.5000


Entry 7:
DFT (PBE) results for YErCu2Si2 after structural relaxation.

Results
Size of the total moment (μB/cell): 0.00
Calculated volume (Å³/f.u.): 110.45
Uncorrected formation energy (kcal/mol of atoms): -15.6
SG: P-3m1 (164)
D(E_F) (states/eV/atom): 0.2512
DFT total energy (eV for the cell shown): -34.13

Cell lengths 4.1516, 4.1516, 7.3996 Å; angles 90.00, 90.00, 120.00 degrees
Fractional coordinates of all 6 atoms:
Si  0.3333  0.6667  0.2534
Si  0.6667  0.3333  0.7466
Er  0.0000  0.0000  0.5000
Y  0.0000  0.0000  0.0000
Cu  0.6667  0.3333  0.2563
Cu  0.3333  0.6667  0.7437


Entry 8:
DFT (PBE) results for NpAuO4 after structural relaxation.

Results
Size of the total moment (μB/cell): 0.00
Calculated volume (Å³/f.u.): 108.39
Uncorrected formation energy (kcal/mol of atoms): -39.2
SG: P2_1/c (14)
DFT total energy (eV for the cell shown): -185.03

Cell lengths 6.2475, 6.2203, 11.1579 Å; angles 90.00, 90.00, 90.89 degrees
Fractional coordinates of all 24 atoms:
O  0.5944  0.0896  0.0928
O  0.0918  0.9103  0.0927
O  0.4056  0.9104  0.9072
O  0.9056  0.4104  0.5928
O  0.6409  0.6540  0.1060
O  0.8591  0.8460  0.6060
O  0.1502  0.3466  0.1048
O  0.5918  0.4103  0.4073
O  0.6502  0.8466  0.3952
O  0.4082  0.5897  0.5927
O  0.9082  0.0897  0.9073
O  0.8498  0.6534  0.8952
O  0.3498  0.1534  0.6048
O  0.1409  0.1540  0.3940
O  0.0944  0.5896  0.4072
O  0.3591  0.3460  0.8940
Au  0.3946  0.7505  0.7497
Au  0.6054  0.2495  0.2503
Au  0.1054  0.7495  0.2497
Au  0.8946  0.2505  0.7503
Np  0.2478  0.3548  0.4998
Np  0.2522  0.1452  0.9998
Np  0.7478  0.8548  0.0002
Np  0.7522  0.6452  0.5002


Q: Number 2 is which compound?
A: YSb2PdI


Copy entry 6 word for word.
DFT (PBE) results for Cs6RbHAu after structural relaxation.

Results
Size of the total moment (μB/cell): 0.00
Calculated volume (Å³/f.u.): 698.49
SG: P312 (149)
D(E_F) (states/eV/atom): 0.9024
DFT total energy (eV for the cell shown): -13.24

Cell lengths 9.3582, 9.3583, 9.2111 Å; angles 90.02, 89.98, 59.98 degrees
Fractional coordinates of all 9 atoms:
Rb  0.0000  0.0000  0.0000
Cs  0.5926  0.3871  0.7116
Cs  0.5927  0.0201  0.2883
Cs  0.3871  0.5926  0.2883
Cs  0.0201  0.5927  0.7117
Cs  0.0205  0.3870  0.2882
Cs  0.3870  0.0205  0.7118
Au  0.6666  0.6666  0.5000
H  0.3333  0.3333  0.5000